This record from Alexandria describes a relaxed Zr5Cd crystal. The functional is GGA-PBEsol.

- total DFT energy (no corrections) (eV per atom) = -7.784
- M_tot (μB/f.u.) = 0.00
- ΔE to the lowest computed polymorph (meV/atom) = 40
- ΔE_f (kJ/mol of atoms) = -0.9

a b c (Å): 5.411 5.411 5.144
angles (deg): 90.00 90.00 120.00
Positions (direct):
Zr  0.000  0.325  0.000
Zr  0.325  0.000  0.000
Zr  0.333  0.667  0.500
Zr  0.667  0.333  0.500
Zr  0.675  0.675  0.000
Cd  0.000  0.000  0.500